ScCo2TcOs | PBE-GGA | relaxed

Lattice parameters (Å, degrees): 4.2319 4.6831 4.2319 90.00 90.00 90.00
Fractional positions:
Sc: 0.0000 0.0000 0.0000
Co: 0.0000 0.0000 0.5000
Co: 0.5000 0.0000 0.0000
Os: 0.0000 0.5000 0.0000
Tc: 0.5000 0.5000 0.5000

## Properties
E_form, eV per atom: 1.76
Magnetic moment, μB per atom: 0.94
ρ, Mg/m³: 8.9
Symmetry: P4/mmm